Record 1
DFT (PBE) results for a relaxed structure of HoUFe.

Values from the calculation:
ΔH_f (0 K) (eV/f.u.): 0.498
Total energy (eV for the cell shown): -23.830
Density of states at the Fermi level (states/eV per atom): 1.49
Excess energy over the best structure of this formula in the dataset (meV per atom): 98

Unit cell a=3.4692 b=3.4692 c=6.1263 alpha=90.00 beta=90.00 gamma=120.00
Last column: nearest neighbours and their distance in Å.
Space group P3m1 (No. 156)
One atom of each set of equivalent atoms:
Ho (0.0000, 0.0000, 0.0000)  3 Fe 2.89
U (0.6667, 0.3333, 0.4458)  3 Fe 2.39
Fe (0.3333, 0.6667, 0.6595)  3 U 2.39

---

Record 2
DFT (PBE) results for a relaxed structure of Ho6Cu5Tc.

Values from the calculation:
ΔH_f (0 K) (eV/f.u.): -2.677
Total energy (eV for the cell shown): -121.980
Density of states at the Fermi level (states/eV per atom): 0.68

Unit cell a=4.8933 b=14.6462 c=6.8582 alpha=90.00 beta=90.00 gamma=90.00
Last column: nearest neighbours and their distance in Å.
Space group Cmmm (No. 65)
One atom of each set of equivalent atoms:
Ho (0.0000, 0.0000, 0.2450)  6 Cu 2.92-3.01, 2 Tc 2.97
Ho (0.0000, 0.3355, 0.2461)  1 Tc 2.94, 7 Cu 2.97-3.04
Cu (0.0000, 0.1627, 0.0000)  8 Ho 2.92-3.04
Cu (0.0000, 0.1659, 0.5000)  8 Ho 2.99-3.03
Cu (0.0000, 0.5000, 0.5000)  8 Ho 2.97-3.01
Tc (0.0000, 0.5000, 0.0000)  8 Ho 2.94-2.97

---

Record 3
DFT (PBE) results for a relaxed structure of TbNpB12.

Values from the calculation:
ΔH_f (0 K) (eV/f.u.): -4.898
Total energy (eV for the cell shown): -102.599
Density of states at the Fermi level (states/eV per atom): 0.54

Unit cell a=4.0933 b=4.0933 c=8.1935 alpha=90.00 beta=90.00 gamma=90.00
Last column: nearest neighbours and their distance in Å.
Space group P4/mmm (No. 123)
One atom of each set of equivalent atoms:
Tb (0.0000, 0.0000, 0.0000)  24 B 3.01
Np (0.0000, 0.0000, 0.5000)  24 B 3.01
B (0.1983, 0.5000, 0.2499)  5 B 1.62-1.75
B (0.5000, 0.5000, 0.0994)  5 B 1.63-1.75
B (0.5000, 0.5000, 0.4009)  5 B 1.62-1.75

---

Record 4
DFT (PBE) results for a relaxed structure of Rb2U2TiTe6.

Values from the calculation:
Total energy (eV for the cell shown): -120.220
Density of states at the Fermi level (states/eV per atom): 1.36
ΔE_f (raw) (eV per atom): -0.80

Unit cell a=7.4153 b=12.7757 c=9.2652 alpha=90.00 beta=106.37 gamma=90.00
Last column: nearest neighbours and their distance in Å.
Space group C2/m (No. 12)
One atom of each set of equivalent atoms:
Rb (0.0000, 0.1716, 0.0000)  6 Te 3.65-3.70
U (0.0000, 0.3316, 0.5000)  6 Te 3.07-3.08
Ti (0.0000, 0.0000, 0.5000)  6 Te 2.89-2.90
Te (0.2283, 0.1554, 0.6960)  1 Ti 2.89, 2 U 3.07-3.08
Te (0.2479, 0.0000, 0.3069)  1 Ti 2.90, 2 U 3.07